Entry 1:
VASP calculation (GGA-PBE) on NaCd3InHg6 after structural relaxation.

CIF file:
```
data_NaCd3InHg6
_chemical_formula_sum 'Na3 Cd9 In3 Hg18'
_cell_length_a 9.3982
_cell_length_b 9.3982
_cell_length_c 11.4402
_cell_angle_alpha 90.00
_cell_angle_beta 90.00
_cell_angle_gamma 120.00
_symmetry_space_group_name_H-M 'R 3'
_symmetry_Int_Tables_number 146
_symmetry_space_group_name_Hall 'R 3'
loop_
_atom_site_label
_atom_site_fract_x
_atom_site_fract_y
_atom_site_fract_z
_atom_site_occupancy
Na1 0.0000 0.0000 0.0000 1
Cd1 0.1640 0.4648 0.9502 1
In1 0.0000 0.0000 0.5463 1
Hg1 0.0213 0.2198 0.7538 1
Hg2 0.0447 0.6919 0.1517 1
```

Output
**Size of the total moment**: 0.0 μB/cell
**Crystal system**: trigonal
**Energy relative to the elements**: -0.036 eV/atom

---

Entry 2:
VASP calculation (GGA-PBE) on NaCdIn2Hg6 after structural relaxation.

CIF file:
```
data_NaCdIn2Hg6
_chemical_formula_sum 'Na1 Cd1 In2 Hg6'
_cell_length_a 5.172
_cell_length_b 6.526
_cell_length_c 7.999
_cell_angle_alpha 94.54
_cell_angle_beta 105.76
_cell_angle_gamma 95.11
_symmetry_space_group_name_H-M 'P 1'
_symmetry_Int_Tables_number 1
_symmetry_space_group_name_Hall 'P 1'
loop_
_atom_site_label
_atom_site_fract_x
_atom_site_fract_y
_atom_site_fract_z
_atom_site_occupancy
Na1 0.000 0.000 0.000 1
Cd1 0.799 0.579 0.589 1
In1 0.389 0.284 0.786 1
In2 0.577 0.708 0.192 1
Hg1 0.176 0.868 0.389 1
Hg2 0.197 0.370 0.390 1
Hg3 0.398 0.783 0.789 1
Hg4 0.599 0.209 0.193 1
Hg5 0.787 0.073 0.599 1
Hg6 0.982 0.499 0.984 1
```

Output
**Size of the total moment**: 0.0 μB/cell
**Crystal system**: triclinic
**Energy relative to the elements**: -0.061 eV/atom

---

Entry 3:
VASP calculation (GGA-PBE) on Na4Cd2In2Hg after structural relaxation.

CIF file:
```
data_Na4Cd2In2Hg
_chemical_formula_sum 'Na4 Cd2 In2 Hg1'
_cell_length_a 6.361
_cell_length_b 6.474
_cell_length_c 7.400
_cell_angle_alpha 81.86
_cell_angle_beta 66.50
_cell_angle_gamma 62.16
_symmetry_space_group_name_H-M 'P -1'
_symmetry_Int_Tables_number 2
_symmetry_space_group_name_Hall '-P 1'
loop_
_atom_site_label
_atom_site_fract_x
_atom_site_fract_y
_atom_site_fract_z
_atom_site_occupancy
Na1 0.042 0.103 0.266 1
Na2 0.437 0.895 0.759 1
Cd1 0.489 0.366 0.680 1
In1 0.148 0.597 0.085 1
Hg1 0.000 0.500 0.500 1
```

Output
**Size of the total moment**: 0.0 μB/cell
**Crystal system**: triclinic
**Energy relative to the elements**: -0.073 eV/atom

---

Entry 4:
VASP calculation (GGA-PBE) on Na2CdInHg6 after structural relaxation.

CIF file:
```
data_Na2CdInHg6
_chemical_formula_sum 'Na8 Cd4 In4 Hg24'
_cell_length_a 11.275
_cell_length_b 11.275
_cell_length_c 11.275
_cell_angle_alpha 90.00
_cell_angle_beta 90.00
_cell_angle_gamma 90.00
_symmetry_space_group_name_H-M 'F m -3 m'
_symmetry_Int_Tables_number 225
_symmetry_space_group_name_Hall '-F 4 2 3'
loop_
_atom_site_label
_atom_site_fract_x
_atom_site_fract_y
_atom_site_fract_z
_atom_site_occupancy
Na1 0.250 0.250 0.250 1
Cd1 0.000 0.000 0.000 1
In1 0.000 0.000 0.500 1
Hg1 0.000 0.000 0.248 1
```

Output
**Size of the total moment**: 0.0 μB/cell
**Crystal system**: cubic
**Energy relative to the elements**: 0.056 eV/atom

---

Entry 5:
VASP calculation (GGA-PBE) on Na2CdInHg5 after structural relaxation.

CIF file:
```
data_Na2CdInHg5
_chemical_formula_sum 'Na8 Cd4 In4 Hg20'
_cell_length_a 8.145
_cell_length_b 8.145
_cell_length_c 15.010
_cell_angle_alpha 90.00
_cell_angle_beta 90.00
_cell_angle_gamma 90.00
_symmetry_space_group_name_H-M 'I 4/m c m'
_symmetry_Int_Tables_number 140
_symmetry_space_group_name_Hall '-I 4 2c'
loop_
_atom_site_label
_atom_site_fract_x
_atom_site_fract_y
_atom_site_fract_z
_atom_site_occupancy
Na1 0.124 0.376 0.000 1
Cd1 0.000 0.500 0.250 1
In1 0.000 0.000 0.250 1
Hg1 0.000 0.000 0.000 1
Hg2 0.205 0.295 0.358 1
```

Output
**Size of the total moment**: 0.0 μB/cell
**Crystal system**: tetragonal
**Energy relative to the elements**: -0.035 eV/atom

---

Entry 6:
VASP calculation (GGA-PBE) on NaCd2In2Hg after structural relaxation.

CIF file:
```
data_NaCd2In2Hg
_chemical_formula_sum 'Na2 Cd4 In4 Hg2'
_cell_length_a 5.083
_cell_length_b 9.216
_cell_length_c 6.542
_cell_angle_alpha 90.00
_cell_angle_beta 90.00
_cell_angle_gamma 90.00
_symmetry_space_group_name_H-M 'P m c 21'
_symmetry_Int_Tables_number 26
_symmetry_space_group_name_Hall 'P 2c -2'
loop_
_atom_site_label
_atom_site_fract_x
_atom_site_fract_y
_atom_site_fract_z
_atom_site_occupancy
Na1 0.000 0.000 0.000 1
Cd1 0.000 0.329 0.251 1
Cd2 0.500 0.163 0.749 1
In1 0.000 0.333 0.751 1
In2 0.500 0.499 0.001 1
Hg1 0.500 0.158 0.250 1
```

Output
**Size of the total moment**: 0.0 μB/cell
**Crystal system**: orthorhombic
**Energy relative to the elements**: -0.061 eV/atom

---

Entry 7:
VASP calculation (GGA-PBE) on Na2CdIn2Hg4 after structural relaxation.

CIF file:
```
data_Na2CdIn2Hg4
_chemical_formula_sum 'Na4 Cd2 In4 Hg8'
_cell_length_a 7.085
_cell_length_b 7.085
_cell_length_c 10.066
_cell_angle_alpha 90.00
_cell_angle_beta 90.00
_cell_angle_gamma 90.00
_symmetry_space_group_name_H-M 'I 4/m m m'
_symmetry_Int_Tables_number 139
_symmetry_space_group_name_Hall '-I 4 2'
loop_
_atom_site_label
_atom_site_fract_x
_atom_site_fract_y
_atom_site_fract_z
_atom_site_occupancy
Na1 0.000 0.000 0.214 1
Cd1 0.000 0.000 0.500 1
In1 0.000 0.500 0.250 1
Hg1 0.220 0.220 0.000 1
```

Output
**Size of the total moment**: 0.0 μB/cell
**Crystal system**: tetragonal
**Energy relative to the elements**: 0.001 eV/atom

---

Entry 8:
VASP calculation (GGA-PBE) on NaCd2InHg after structural relaxation.

CIF file:
```
data_NaCd2InHg
_chemical_formula_sum 'Na2 Cd4 In2 Hg2'
_cell_length_a 6.497
_cell_length_b 5.024
_cell_length_c 7.988
_cell_angle_alpha 90.00
_cell_angle_beta 103.61
_cell_angle_gamma 90.00
_symmetry_space_group_name_H-M 'P 1 21/m 1'
_symmetry_Int_Tables_number 11
_symmetry_space_group_name_Hall '-P 2yb'
loop_
_atom_site_label
_atom_site_fract_x
_atom_site_fract_y
_atom_site_fract_z
_atom_site_occupancy
Na1 0.069 0.250 0.368 1
Cd1 0.431 0.750 0.408 1
Cd2 0.497 0.750 0.806 1
In1 0.179 0.750 0.045 1
Hg1 0.211 0.250 0.795 1
```

Output
**Size of the total moment**: 0.0 μB/cell
**Crystal system**: monoclinic
**Energy relative to the elements**: -0.082 eV/atom